SrB2IrO8 | PBE | relaxed

* calculated total energy: -81.45 eV/cell
* raw formation energy: -1.490 eV/atom
* crystal system: trigonal

a = 4.9899 Å, b = 4.9899 Å, c = 6.9937 Å
α = 90.00°, β = 90.00°, γ = 120.00°
Space group P-3m1 (No. 164)
One atom of each set of equivalent atoms:
Sr1 0.0000 0.0000 0.0000 [1 per cell]
B1 0.3333 0.6667 0.2660 [2 per cell]
Ir1 0.0000 0.0000 0.5000 [1 per cell]
O1 0.1730 0.3460 0.3320 [6 per cell]
O2 0.3333 0.6667 0.0617 [2 per cell]